(1)
A plane-wave DFT calculation with PBE-GGA was carried out for a relaxed Ti2NbRu crystal.

Space-group type: I-42d (122)
Raw total energy (eV/atom): -8.649

Cell: 7.0985 7.0985 5.7147 Å, 51.61 51.61 90.00°
Closest atoms and distances in Å follow each position.
Atoms (fractional coordinates):
Ru1 0.0000 0.0000 0.0000  4 Ti 2.45, 2 Nb 2.73
Ru2 0.7500 0.2500 0.5000  4 Ti 2.45, 2 Nb 2.73
Nb1 0.5000 0.5000 0.0000  2 Ru 2.73, 4 Ti 2.76
Nb2 0.2500 0.7500 0.5000  2 Ru 2.73, 4 Ti 2.76
Ti1 0.6564 0.1250 0.2500  2 Ru 2.45
Ti2 0.0936 0.6250 0.2500  2 Ru 2.45
Ti3 0.3750 0.3436 0.7500  2 Ru 2.45
Ti4 0.8750 0.9064 0.7500  2 Ru 2.45

(2)
A plane-wave DFT calculation with PBE-GGA was carried out for a relaxed TiNbRu2 crystal.

Space-group type: P4/mmm (123)
Offset from the most stable computed form (meV per atom): 0

Cell: 3.0761 3.0761 6.4746 Å, 90.00 90.00 90.00°
Closest atoms and distances in Å follow each position.
Atoms (fractional coordinates):
Ru1 0.0000 0.0000 0.7656  4 Ti 2.65, 4 Nb 2.77
Ru2 0.0000 0.0000 0.2344  4 Ti 2.65, 4 Nb 2.77
Nb1 0.5000 0.5000 0.5000  8 Ru 2.77, 4 Nb 3.08
Ti1 0.5000 0.5000 0.0000  8 Ru 2.65

(3)
A plane-wave DFT calculation with PBE-GGA was carried out for a relaxed TiNbRu2 crystal.

Space-group type: Fm-3m (225)
Offset from the most stable computed form (meV per atom): 20

Cell: 4.4336 4.4336 4.4336 Å, 60.00 60.00 60.00°
Closest atoms and distances in Å follow each position.
Atoms (fractional coordinates):
Ru1 0.2500 0.2500 0.2500  4 Nb 2.71, 4 Ti 2.71
Ru2 0.7500 0.7500 0.7500  4 Nb 2.71, 4 Ti 2.71
Nb1 0.5000 0.5000 0.5000  8 Ru 2.71
Ti1 0.0000 0.0000 0.0000  8 Ru 2.71

(4)
A plane-wave DFT calculation with PBE-GGA was carried out for a relaxed TiNb2Ru2 crystal.

Space-group type: Cmmm (65)
Offset from the most stable computed form (meV per atom): 0

Cell: 3.0077 3.0012 9.2289 Å, 80.64 90.00 90.00°
Closest atoms and distances in Å follow each position.
Atoms (fractional coordinates):
Ti1 0.0000 0.0000 0.0000  8 Ru 2.63
Nb1 0.0000 0.1820 0.6359  4 Ru 2.76, 6 Nb 2.89-3.01
Nb2 0.0000 0.8180 0.3641  4 Ru 2.76, 6 Nb 2.89-3.01
Ru1 0.5000 0.4150 0.1699  4 Ti 2.63, 4 Nb 2.76
Ru2 0.5000 0.5850 0.8301  4 Ti 2.63, 4 Nb 2.76

(5)
A plane-wave DFT calculation with PBE-GGA was carried out for a relaxed TiNb2Ru crystal.

Space-group type: P4/mmm (123)
Offset from the most stable computed form (meV per atom): 0

Cell: 3.1787 3.1787 6.5837 Å, 90.00 90.00 90.00°
Closest atoms and distances in Å follow each position.
Atoms (fractional coordinates):
Ru1 0.5000 0.5000 0.0000  8 Nb 2.76
Nb1 0.0000 0.0000 0.7565  4 Ru 2.76, 4 Ti 2.81
Nb2 0.0000 0.0000 0.2435  4 Ru 2.76, 4 Ti 2.81
Ti1 0.5000 0.5000 0.5000  8 Nb 2.81

(6)
A plane-wave DFT calculation with PBE-GGA was carried out for a relaxed Ti2NbRu2 crystal.

Space-group type: P4/mbm (127)
Offset from the most stable computed form (meV per atom): 18

Cell: 7.3461 7.3461 2.9257 Å, 90.00 90.00 90.00°
Closest atoms and distances in Å follow each position.
Atoms (fractional coordinates):
Ru1 0.1554 0.6554 0.5000  6 Ti 2.54-2.65
Ru2 0.6554 0.8446 0.5000  6 Ti 2.54-2.65
Ru3 0.8446 0.3446 0.5000  6 Ti 2.54-2.65
Ru4 0.3446 0.1554 0.5000  6 Ti 2.54-2.65
Nb1 0.0000 0.0000 0.0000  4 Ti 2.82, 2 Nb 2.93, 8 Ru 3.14
Nb2 0.5000 0.5000 0.0000  4 Ti 2.82, 2 Nb 2.93, 8 Ru 3.14
Ti1 0.3550 0.8550 0.0000  6 Ru 2.54-2.65, 2 Nb 2.82
Ti2 0.8550 0.6450 0.0000  6 Ru 2.54-2.65, 2 Nb 2.82
Ti3 0.6450 0.1450 0.0000  6 Ru 2.54-2.65, 2 Nb 2.82
Ti4 0.1450 0.3550 0.0000  6 Ru 2.54-2.65, 2 Nb 2.82

(7)
A plane-wave DFT calculation with PBE-GGA was carried out for a relaxed TiNbRu2 crystal.

Space-group type: I-42d (122)
Offset from the most stable computed form (meV per atom): 668

Cell: 6.8387 6.8387 5.6060 Å, 52.41 52.41 90.00°
Closest atoms and distances in Å follow each position.
Atoms (fractional coordinates):
Ru1 0.6178 0.1250 0.2500  2 Ti 2.49, 2 Nb 2.55
Ru2 0.1322 0.6250 0.2500  2 Ti 2.49, 2 Nb 2.55
Ru3 0.3750 0.3822 0.7500  2 Ti 2.49, 2 Nb 2.55
Ru4 0.8750 0.8678 0.7500  2 Ti 2.49, 2 Nb 2.55
Nb1 0.0000 0.0000 0.0000  4 Ru 2.55, 2 Ti 2.84
Nb2 0.7500 0.2500 0.5000  4 Ru 2.55, 2 Ti 2.84
Ti1 0.5000 0.5000 0.0000  4 Ru 2.49
Ti2 0.2500 0.7500 0.5000  4 Ru 2.49

(8)
A plane-wave DFT calculation with PBE-GGA was carried out for a relaxed Ti2Nb2Ru crystal.

Space-group type: I4/mmm (139)
Raw total energy (eV/atom): -9.328

Cell: 3.1722 3.1722 8.4710 Å, 100.79 100.79 90.00°
Closest atoms and distances in Å follow each position.
Atoms (fractional coordinates):
Ti1 0.5922 0.5922 0.1843  4 Ru 2.70, 4 Nb 2.84, 1 Ti 3.01
Ti2 0.4078 0.4078 0.8157  4 Ru 2.70, 4 Nb 2.84, 1 Ti 3.01
Nb1 0.8010 0.8010 0.6020  4 Nb 2.79, 4 Ti 2.84
Nb2 0.1990 0.1990 0.3980  4 Nb 2.79, 4 Ti 2.84
Ru1 0.0000 0.0000 0.0000  8 Ti 2.70

(9)
A plane-wave DFT calculation with PBE-GGA was carried out for a relaxed TiNbRu crystal.

Space-group type: Cmcm (63)
Offset from the most stable computed form (meV per atom): 0

Cell: 3.1450 13.6948 4.4336 Å, 90.00 90.00 90.00°
Closest atoms and distances in Å follow each position.
Atoms (fractional coordinates):
Ru1 0.0000 0.9194 0.2500  6 Ti 2.67-2.72, 2 Nb 2.76
Ru2 0.0000 0.0806 0.7500  6 Ti 2.67-2.72, 2 Nb 2.76
Ru3 0.5000 0.4194 0.2500  6 Ti 2.67-2.72, 2 Nb 2.76
Ru4 0.5000 0.5806 0.7500  6 Ti 2.67-2.72, 2 Nb 2.76
Nb1 0.0000 0.2541 0.2500  4 Nb 2.72, 2 Ru 2.76, 2 Ti 2.89
Nb2 0.0000 0.7459 0.7500  4 Nb 2.72, 2 Ru 2.76, 2 Ti 2.89
Nb3 0.5000 0.7541 0.2500  4 Nb 2.72, 2 Ru 2.76, 2 Ti 2.89
Nb4 0.5000 0.2459 0.7500  4 Nb 2.72, 2 Ru 2.76, 2 Ti 2.89
Ti1 0.0000 0.5771 0.2500  6 Ru 2.67-2.72, 2 Nb 2.89
Ti2 0.0000 0.4229 0.7500  6 Ru 2.67-2.72, 2 Nb 2.89
Ti3 0.5000 0.0771 0.2500  6 Ru 2.67-2.72, 2 Nb 2.89
Ti4 0.5000 0.9229 0.7500  6 Ru 2.67-2.72, 2 Nb 2.89

(10)
A plane-wave DFT calculation with PBE-GGA was carried out for a relaxed TiNb2Ru crystal.

Space-group type: Fm-3m (225)
Offset from the most stable computed form (meV per atom): 20

Cell: 4.5301 4.5301 4.5301 Å, 60.00 60.00 60.00°
Closest atoms and distances in Å follow each position.
Atoms (fractional coordinates):
Ru1 0.5000 0.5000 0.5000  8 Nb 2.77
Nb1 0.2500 0.2500 0.2500  4 Ru 2.77, 4 Ti 2.77
Nb2 0.7500 0.7500 0.7500  4 Ru 2.77, 4 Ti 2.77
Ti1 0.0000 0.0000 0.0000  8 Nb 2.77

(11)
A plane-wave DFT calculation with PBE-GGA was carried out for a relaxed TiNbRu crystal.

Space-group type: Cmcm (63)
Offset from the most stable computed form (meV per atom): 55

Cell: 4.4277 9.7942 4.4382 Å, 90.00 90.00 90.00°
Closest atoms and distances in Å follow each position.
Atoms (fractional coordinates):
Ru1 0.0000 0.7502 0.2500  4 Ti 2.71, 4 Nb 2.72-2.73
Ru2 0.0000 0.2498 0.7500  4 Ti 2.71, 4 Nb 2.72-2.73
Ru3 0.5000 0.2502 0.2500  4 Ti 2.71, 4 Nb 2.72-2.73
Ru4 0.5000 0.7498 0.7500  4 Ti 2.71, 4 Nb 2.72-2.73
Nb1 0.0000 0.4122 0.2500  4 Ru 2.72-2.73, 2 Nb 2.81, 2 Ti 2.82
Nb2 0.0000 0.5878 0.7500  4 Ru 2.72-2.73, 2 Nb 2.81, 2 Ti 2.82
Nb3 0.5000 0.9122 0.2500  4 Ru 2.72-2.73, 2 Nb 2.81, 2 Ti 2.82
Nb4 0.5000 0.0878 0.7500  4 Ru 2.72-2.73, 2 Nb 2.81, 2 Ti 2.82
Ti1 0.0000 0.0909 0.2500  4 Ru 2.71, 2 Nb 2.82, 2 Ti 2.85
Ti2 0.0000 0.9091 0.7500  4 Ru 2.71, 2 Nb 2.82, 2 Ti 2.85
Ti3 0.5000 0.5909 0.2500  4 Ru 2.71, 2 Nb 2.82, 2 Ti 2.85
Ti4 0.5000 0.4091 0.7500  4 Ru 2.71, 2 Nb 2.82, 2 Ti 2.85

(12)
A plane-wave DFT calculation with PBE-GGA was carried out for a relaxed TiNbRu crystal.

Space-group type: P3m1 (156)
Offset from the most stable computed form (meV per atom): 194

Cell: 2.8980 4.3721 4.3721 Å, 120.00 90.00 90.00°
Closest atoms and distances in Å follow each position.
Atoms (fractional coordinates):
Ru1 0.0009 0.0000 0.0000  3 Ti 2.69, 3 Nb 2.69, 2 Ru 2.90
Nb1 0.6808 0.3333 0.6667  3 Ru 2.69, 3 Ti 2.73, 2 Nb 2.90
Ti1 0.3184 0.6667 0.3333  3 Ru 2.69, 3 Nb 2.73, 2 Ti 2.90